1.
{
  "formula": "HfTi2PdC",
  "functional": "PBE",
  "state": "optimized geometry",
  "spacegroup": "P4/mmm, No. 123",
  "lattice": [[4.172, 0.000, 0.000], [0.000, 4.172, 0.000], [0.000, 0.000, 4.453]],
  "species": ["Hf", "Ti", "Ti", "Pd", "C"],
  "frac_coords": [[0.000, 0.000, 0.000], [0.000, 0.500, 0.500], [0.500, 0.000, 0.500], [0.500, 0.500, 0.000], [0.000, 0.000, 0.500]]
}

=====

2.
{
  "formula": "Pm2HfC",
  "functional": "PBE",
  "state": "optimized geometry",
  "spacegroup": "R-3m, No. 166",
  "lattice": [[1.738, 1.003, 9.504], [-1.738, 1.003, 9.504], [0.000, -2.007, 9.504]],
  "species": ["Pm", "Pm", "Hf", "C"],
  "frac_coords": [[0.116, 0.116, 0.116], [0.884, 0.884, 0.884], [0.000, 0.000, 0.000], [0.500, 0.500, 0.500]]
}

=====

3.
{
  "formula": "PrHfC2",
  "functional": "PBE",
  "state": "optimized geometry",
  "spacegroup": "R-3m, No. 166",
  "lattice": [[1.745, 1.008, 5.913], [-1.745, 1.008, 5.913], [0.000, -2.015, 5.913]],
  "species": ["Pr", "Hf", "C", "C"],
  "frac_coords": [[0.000, 0.000, 0.000], [0.500, 0.500, 0.500], [0.236, 0.236, 0.236], [0.764, 0.764, 0.764]]
}

=====

4.
{
  "formula": "PrHfC",
  "functional": "PBE",
  "state": "optimized geometry",
  "spacegroup": "P4/nmm, No. 129",
  "lattice": [[3.843, 0.000, 0.000], [0.000, 3.843, 0.000], [0.000, 0.000, 8.915]],
  "species": ["Pr", "Pr", "Hf", "Hf", "C", "C"],
  "frac_coords": [[0.250, 0.250, 0.183], [0.750, 0.750, 0.817], [0.250, 0.750, 0.500], [0.750, 0.250, 0.500], [0.250, 0.250, 0.656], [0.750, 0.750, 0.344]]
}

=====

5.
{
  "formula": "Hf4Pt2C",
  "functional": "PBE",
  "state": "optimized geometry",
  "spacegroup": "Pbam, No. 55",
  "lattice": [[6.553, 0.000, 0.000], [0.000, 11.561, 0.000], [0.000, 0.000, 3.482]],
  "species": ["Hf", "Hf", "Hf", "Hf", "Hf", "Hf", "Hf", "Hf", "Pt", "Pt", "Pt", "Pt", "C", "C"],
  "frac_coords": [[0.113, 0.185, 0.000], [0.226, 0.956, 0.500], [0.274, 0.456, 0.500], [0.387, 0.685, 0.000], [0.613, 0.315, 0.000], [0.726, 0.544, 0.500], [0.774, 0.044, 0.500], [0.887, 0.815, 0.000], [0.074, 0.672, 0.500], [0.426, 0.172, 0.500], [0.574, 0.828, 0.500], [0.926, 0.328, 0.500], [0.000, 0.000, 0.000], [0.500, 0.500, 0.000]]
}

=====

6.
{
  "formula": "Hf3PtC",
  "functional": "PBE",
  "state": "optimized geometry",
  "spacegroup": "P2_1/c, No. 14",
  "de_polymorph_ev_per_fu": 0.71,
  "lattice": [[7.176, 0.000, 0.000], [0.000, 5.680, 0.000], [-1.286, 0.000, 8.476]],
  "species": ["Hf", "Hf", "Hf", "Hf", "Hf", "Hf", "Hf", "Hf", "Hf", "Hf", "Hf", "Hf", "Pt", "Pt", "Pt", "Pt", "C", "C", "C", "C"],
  "frac_coords": [[0.069, 0.076, 0.178], [0.069, 0.424, 0.678], [0.212, 0.581, 0.055], [0.212, 0.919, 0.555], [0.350, 0.124, 0.902], [0.350, 0.376, 0.402], [0.650, 0.624, 0.598], [0.650, 0.876, 0.098], [0.788, 0.081, 0.445], [0.788, 0.419, 0.945], [0.931, 0.576, 0.322], [0.931, 0.924, 0.822], [0.411, 0.668, 0.816], [0.411, 0.832, 0.316], [0.589, 0.168, 0.684], [0.589, 0.332, 0.184], [0.070, 0.244, 0.437], [0.070, 0.256, 0.937], [0.930, 0.744, 0.063], [0.930, 0.756, 0.563]]
}

=====

7.
{
  "formula": "Hf5Pt2C",
  "functional": "PBE",
  "state": "optimized geometry",
  "spacegroup": "Cmcm, No. 63",
  "lattice": [[2.270, -6.999, 0.000], [2.270, 6.999, 0.000], [0.000, 0.000, 10.861]],
  "species": ["Hf", "Hf", "Hf", "Hf", "Hf", "Hf", "Hf", "Hf", "Hf", "Hf", "Pt", "Pt", "Pt", "Pt", "C", "C"],
  "frac_coords": [[0.084, 0.916, 0.608], [0.084, 0.916, 0.892], [0.297, 0.703, 0.250], [0.305, 0.695, 0.578], [0.305, 0.695, 0.922], [0.695, 0.305, 0.078], [0.695, 0.305, 0.422], [0.703, 0.297, 0.750], [0.916, 0.084, 0.108], [0.916, 0.084, 0.392], [0.109, 0.891, 0.130], [0.109, 0.891, 0.370], [0.891, 0.109, 0.630], [0.891, 0.109, 0.870], [0.201, 0.799, 0.750], [0.799, 0.201, 0.250]]
}

=====

8.
{
  "formula": "Hf12Pt6C",
  "functional": "PBE",
  "state": "optimized geometry",
  "spacegroup": "R-3, No. 148",
  "lattice": [[5.680, 3.280, 3.574], [-5.680, 3.280, 3.574], [0.000, -6.559, 3.574]],
  "species": ["Hf", "Hf", "Hf", "Hf", "Hf", "Hf", "Hf", "Hf", "Hf", "Hf", "Hf", "Hf", "Pt", "Pt", "Pt", "Pt", "Pt", "Pt", "C"],
  "frac_coords": [[0.003, 0.933, 0.694], [0.067, 0.306, 0.997], [0.187, 0.564, 0.422], [0.306, 0.997, 0.067], [0.422, 0.187, 0.564], [0.436, 0.578, 0.813], [0.564, 0.422, 0.187], [0.578, 0.813, 0.436], [0.694, 0.003, 0.933], [0.813, 0.436, 0.578], [0.933, 0.694, 0.003], [0.997, 0.067, 0.306], [0.125, 0.304, 0.645], [0.304, 0.645, 0.125], [0.355, 0.875, 0.696], [0.645, 0.125, 0.304], [0.696, 0.355, 0.875], [0.875, 0.696, 0.355], [0.000, 0.000, 0.000]]
}

=====

9.
{
  "formula": "Hf3PtC",
  "functional": "PBE",
  "state": "optimized geometry",
  "spacegroup": "Cmcm, No. 63",
  "de_polymorph_ev_per_fu": 0.00,
  "lattice": [[1.660, -5.806, 0.000], [1.660, 5.806, 0.000], [0.000, 0.000, 8.898]],
  "species": ["Hf", "Hf", "Hf", "Hf", "Hf", "Hf", "Pt", "Pt", "C", "C"],
  "frac_coords": [[0.056, 0.944, 0.750], [0.372, 0.628, 0.558], [0.372, 0.628, 0.942], [0.628, 0.372, 0.058], [0.628, 0.372, 0.442], [0.944, 0.056, 0.250], [0.253, 0.747, 0.250], [0.747, 0.253, 0.750], [0.000, 0.000, 0.000], [0.000, 0.000, 0.500]]
}

=====

10.
{
  "formula": "Hf6Pt3C",
  "functional": "PBE",
  "state": "optimized geometry",
  "spacegroup": "P2_1/c, No. 14",
  "lattice": [[5.848, 0.000, 0.000], [0.000, 7.262, 0.000], [-5.145, 0.000, 8.941]],
  "species": ["Hf", "Hf", "Hf", "Hf", "Hf", "Hf", "Hf", "Hf", "Hf", "Hf", "Hf", "Hf", "Pt", "Pt", "Pt", "Pt", "Pt", "Pt", "C", "C"],
  "frac_coords": [[0.073, 0.057, 0.234], [0.073, 0.443, 0.734], [0.209, 0.724, 0.070], [0.209, 0.776, 0.570], [0.375, 0.148, 0.048], [0.375, 0.352, 0.548], [0.625, 0.648, 0.452], [0.625, 0.852, 0.952], [0.791, 0.224, 0.430], [0.791, 0.276, 0.930], [0.927, 0.557, 0.266], [0.927, 0.943, 0.766], [0.313, 0.101, 0.727], [0.313, 0.399, 0.227], [0.500, 0.000, 0.500], [0.500, 0.500, 0.000], [0.687, 0.601, 0.773], [0.687, 0.899, 0.273], [0.000, 0.000, 0.000], [0.000, 0.500, 0.500]]
}

=====

11.
{
  "formula": "Hf3Pt2C",
  "functional": "PBE",
  "state": "optimized geometry",
  "spacegroup": "Cmmm, No. 65",
  "lattice": [[2.319, -6.722, 0.000], [2.319, 6.722, 0.000], [0.000, 0.000, 3.206]],
  "species": ["Hf", "Hf", "Hf", "Pt", "Pt", "C"],
  "frac_coords": [[0.000, 0.000, 0.000], [0.377, 0.623, 0.500], [0.623, 0.377, 0.500], [0.195, 0.805, 0.000], [0.805, 0.195, 0.000], [0.500, 0.500, 0.000]]
}

=====

Computed DFT formation energy (eV per atom) in order:
-0.563; 0.325; -0.190; 0.172; -0.774; -0.771; -0.350; -0.565; -0.913; -0.765; -0.899